Compound: Nb2SbTeBr
Source: Alexandria via LeMat-Bulk
Functional: PBE
Structure: optimized geometry

Computed properties:
The uncorrected formation energy is 1.315 eV per atom. The symmetry is No. 123. The calculation puts the mass density at 6.32 g cm⁻³.

The structure in CIF format:
```
data_Nb2SbTeBr
_cell_length_a 4.7816
_cell_length_b 4.7816
_cell_length_c 5.9218
_cell_angle_alpha 90.00
_cell_angle_beta 90.00
_cell_angle_gamma 90.00
_space_group_name_H-M_alt 'P 1'
_space_group_IT_number 1
loop_
_space_group_symop_operation_xyz
'x,y,z'
loop_
_atom_site_label
_atom_site_fract_x
_atom_site_fract_y
_atom_site_fract_z
_atom_site_occupancy
Nb1 0.0000 0.5000 0.0000 1
Nb2 0.5000 0.0000 0.0000 1
Sb1 0.0000 0.0000 0.5000 1
Te1 0.5000 0.5000 0.5000 1
Br1 0.5000 0.5000 0.0000 1
```